Record 1
The following is a DFT calculation (PBE) of Li5Zn2Cu4 after structural relaxation.

Results
* VASP energy: -28.68 eV/cell
* crystal system: orthorhombic
* magnetic moment: 0.000 μB/cell
* calculated formation energy: -0.016 eV/atom

a = 9.428 Å, b = 9.428 Å, c = 9.428 Å
α = 164.45°, β = 132.25°, γ = 50.52°
Atoms (fractional coordinates):
Li: 0.000 0.000 0.000
Li: 0.065 0.353 0.712
Li: 0.359 0.647 0.712
Li: 0.641 0.353 0.288
Li: 0.935 0.647 0.288
Zn: 0.268 0.768 0.500
Zn: 0.732 0.232 0.500
Cu: 0.293 0.500 0.793
Cu: 0.414 0.914 0.500
Cu: 0.586 0.086 0.500
Cu: 0.707 0.500 0.207



Record 2
The following is a DFT calculation (PBE) of Li7Zn3Cu after structural relaxation.

Results
* VASP energy: -21.42 eV/cell
* crystal system: trigonal
* magnetic moment: 0.000 μB/cell
* calculated formation energy: -0.009 eV/atom

a = 5.556 Å, b = 5.556 Å, c = 6.829 Å
α = 90.00°, β = 90.00°, γ = 120.00°
Atoms (fractional coordinates):
Li: 0.000 0.000 0.000
Li: 0.167 0.334 0.636
Li: 0.167 0.833 0.636
Li: 0.505 0.009 0.982
Li: 0.505 0.495 0.982
Li: 0.666 0.833 0.636
Li: 0.991 0.495 0.982
Zn: 0.339 0.169 0.318
Zn: 0.831 0.169 0.318
Zn: 0.831 0.661 0.318
Cu: 0.667 0.333 0.631



Record 3
The following is a DFT calculation (PBE) of LiZn5Cu4 after structural relaxation.

Results
* VASP energy: -25.78 eV/cell
* crystal system: tetragonal
* magnetic moment: 0.000 μB/cell
* calculated formation energy: -0.111 eV/atom

a = 3.021 Å, b = 3.021 Å, c = 14.498 Å
α = 90.00°, β = 90.00°, γ = 90.00°
Atoms (fractional coordinates):
Li: 0.000 0.000 0.000
Zn: 0.500 0.500 0.105
Zn: 0.500 0.500 0.302
Zn: 0.500 0.500 0.500
Zn: 0.500 0.500 0.698
Zn: 0.500 0.500 0.895
Cu: 0.000 0.000 0.203
Cu: 0.000 0.000 0.401
Cu: 0.000 0.000 0.599
Cu: 0.000 0.000 0.797



- What is the formula in the second record?
  Li7Zn3Cu